Entry 1:
# Li3NiH8

Li3NiH8 after structural relaxation (GGA-PBE, Alexandria).

a = 5.3365 Å, b = 5.3365 Å, c = 5.3365 Å
α = 133.32°, β = 133.32°, γ = 68.15°
Last column: nearest neighbours and their distance in Å.
Fractional positions:
Li1 0.0000 0.0000 0.0000  8 H 1.88
Li2 0.2500 0.7500 0.5000  8 H 1.98
Li3 0.7500 0.2500 0.5000  8 H 1.98
Ni1 0.5000 0.5000 0.0000  8 H 1.64
H1 0.1686 0.1686 0.5468  1 Ni 1.64
H2 0.1686 0.6218 0.0000  1 Ni 1.64
H3 0.3782 0.3782 0.5468  1 Ni 1.64
H4 0.3782 0.8314 0.0000  1 Ni 1.64
H5 0.6218 0.1686 0.0000  1 Ni 1.64
H6 0.6218 0.6218 0.4532  1 Ni 1.64
H7 0.8314 0.3782 0.0000  1 Ni 1.64
H8 0.8314 0.8314 0.4532  1 Ni 1.64

Calculated total energy   -3.153 eV/atom
Space group   I4/mmm, No. 139

Entry 2:
# LiNiH2

LiNiH2 after structural relaxation (GGA-PBE, Alexandria).

a = 4.7422 Å, b = 4.7422 Å, c = 4.7422 Å
α = 90.00°, β = 90.00°, γ = 90.00°
Last column: nearest neighbours and their distance in Å.
Fractional positions:
Li1 0.0000 0.0000 0.0000  8 H 2.05
Li2 0.0000 0.5000 0.5000  8 H 2.05
Li3 0.5000 0.0000 0.5000  8 H 2.05
Li4 0.5000 0.5000 0.0000  8 H 2.05
Ni1 0.0000 0.0000 0.5000  8 H 2.05
Ni2 0.0000 0.5000 0.0000  8 H 2.05
Ni3 0.5000 0.0000 0.0000  8 H 2.05
Ni4 0.5000 0.5000 0.5000  8 H 2.05
H1 0.2500 0.2500 0.2500  4 Li 2.05, 4 Ni 2.05
H2 0.2500 0.2500 0.7500  4 Li 2.05, 4 Ni 2.05
H3 0.2500 0.7500 0.2500  4 Li 2.05, 4 Ni 2.05
H4 0.2500 0.7500 0.7500  4 Li 2.05, 4 Ni 2.05
H5 0.7500 0.2500 0.2500  4 Li 2.05, 4 Ni 2.05
H6 0.7500 0.2500 0.7500  4 Li 2.05, 4 Ni 2.05
H7 0.7500 0.7500 0.2500  4 Li 2.05, 4 Ni 2.05
H8 0.7500 0.7500 0.7500  4 Li 2.05, 4 Ni 2.05

Calculated total energy   -3.415 eV/atom
Offset from the most stable computed form   0.407 eV/atom
Space group   Fm-3m, No. 225

Entry 3:
# Li2Ni2H3

Li2Ni2H3 after structural relaxation (GGA-PBE, Alexandria).

a = 2.5642 Å, b = 4.6118 Å, c = 4.7647 Å
α = 84.19°, β = 89.94°, γ = 73.93°
Last column: nearest neighbours and their distance in Å.
Fractional positions:
Li1 0.1186 0.2618 0.3720  4 H 1.97-2.07
Li2 0.8814 0.7382 0.6280  4 H 1.97-2.07
Ni1 0.3737 0.7518 0.1155  4 H 1.67-1.82
Ni2 0.6263 0.2482 0.8845  4 H 1.67-1.82
H1 0.0000 0.5000 0.0000  4 Ni 1.82, 2 Li 1.97
H2 0.2222 0.0559 0.7685  2 Ni 1.67
H3 0.7778 0.9441 0.2315  2 Ni 1.67

Calculated total energy   -3.862 eV/atom
Space group   P-1, No. 2

Entry 4:
# LiNiH3

LiNiH3 after structural relaxation (GGA-PBE, Alexandria).

a = 2.7638 Å, b = 2.7638 Å, c = 4.4661 Å
α = 90.00°, β = 90.00°, γ = 90.00°
Last column: nearest neighbours and their distance in Å.
Fractional positions:
Li1 0.0000 0.0000 0.0000  5 H 1.81-1.83
Ni1 0.5000 0.5000 0.4564  4 H 1.63
H1 0.0000 0.0000 0.5908  1 Li 1.83, 4 H 2.01, 4 Ni 2.04
H2 0.0000 0.5000 0.2633  2 Ni 1.63, 2 Li 1.81
H3 0.5000 0.0000 0.2633  2 Ni 1.63, 2 Li 1.81

Calculated total energy   -3.547 eV/atom
Space group   P4mm, No. 99

Entry 5:
# Li2NiH2

Li2NiH2 after structural relaxation (GGA-PBE, Alexandria).

a = 4.8454 Å, b = 4.8454 Å, c = 5.3639 Å
α = 113.88°, β = 113.88°, γ = 50.26°
Last column: nearest neighbours and their distance in Å.
Fractional positions:
Li1 0.0246 0.0246 0.2804  4 H 1.93-2.07
Li2 0.3125 0.3125 0.8824  5 H 2.04-2.23
Li3 0.6875 0.6875 0.1176  5 H 2.04-2.23
Li4 0.9754 0.9754 0.7196  4 H 1.93-2.07
Ni1 0.3436 0.3436 0.4033  3 H 1.58-1.72
Ni2 0.6564 0.6564 0.5967  3 H 1.58-1.72
H1 0.1787 0.1787 0.1134  1 Ni 1.58
H2 0.4960 0.4960 0.2850  2 Ni 1.63-1.72
H3 0.5040 0.5040 0.7150  2 Ni 1.63-1.72
H4 0.8213 0.8213 0.8866  1 Ni 1.58

Calculated total energy   -3.524 eV/atom
Space group   C2/m, No. 12

Entry 6:
# LiNi4H6

LiNi4H6 after structural relaxation (GGA-PBE, Alexandria).

a = 4.5270 Å, b = 4.5270 Å, c = 12.6427 Å
α = 90.00°, β = 90.00°, γ = 146.31°
Last column: nearest neighbours and their distance in Å.
Fractional positions:
Li1 0.1756 0.8244 0.7500  2 H 1.90
Li2 0.8244 0.1756 0.2500  2 H 1.90
Ni1 0.0925 0.9074 0.1334  3 H 1.61-1.71
Ni2 0.0925 0.9074 0.3666  3 H 1.61-1.71
Ni3 0.3623 0.6377 0.0482  3 H 1.66-1.82
Ni4 0.3623 0.6377 0.4518  3 H 1.66-1.82
Ni5 0.6377 0.3623 0.5482  3 H 1.66-1.82
Ni6 0.6377 0.3623 0.9518  3 H 1.66-1.82
Ni7 0.9074 0.0925 0.6334  3 H 1.61-1.71
Ni8 0.9074 0.0925 0.8666  3 H 1.61-1.71
H1 0.0000 0.0000 0.0000  6 Ni 1.87-1.88
H2 0.0000 0.0000 0.5000  6 Ni 1.87-1.88
H3 0.1661 0.8339 0.2500  2 Ni 1.61
H4 0.2715 0.7285 0.5864  5 Ni 1.82-1.87
H5 0.2715 0.7285 0.9136  5 Ni 1.82-1.87
H6 0.4711 0.5289 0.1567  3 Ni 1.66-1.71
H7 0.4711 0.5289 0.3433  3 Ni 1.66-1.71
H8 0.5289 0.4711 0.6567  3 Ni 1.66-1.71
H9 0.5289 0.4711 0.8433  3 Ni 1.66-1.71
H10 0.7285 0.2715 0.0864  5 Ni 1.82-1.87
H11 0.7285 0.2715 0.4136  5 Ni 1.82-1.87
H12 0.8339 0.1661 0.7500  2 Ni 1.61

Calculated total energy   -4.237 eV/atom
Space group   Cmcm, No. 63